[1]
# PBE-GGA NdH4Pd2Pt, optimized geometry
# Total magnetic moment (μB/cell): 0.00
# DFT total energy (eV per cell): -38.05
# SG: C2 (5)
data_NdH4Pd2Pt
_chemical_formula_sum 'Nd1 H4 Pd2 Pt1'
_cell_length_a 5.1600
_cell_length_b 5.1580
_cell_length_c 4.9343
_cell_angle_alpha 121.26
_cell_angle_beta 121.32
_cell_angle_gamma 90.39
_symmetry_space_group_name_H-M 'P 1'
_symmetry_Int_Tables_number 1
loop_
_symmetry_equiv_pos_as_xyz
'x,y,z'
loop_
_atom_site_label
_atom_site_fract_x
_atom_site_fract_y
_atom_site_fract_z
H1 0.8696 0.3911 0.3660
H2 0.4953 0.9743 0.3640
H3 0.0832 0.9770 0.5792
H4 0.4967 0.6035 0.5805
Pd1 0.2355 0.2352 0.4711
Pd2 0.4858 0.9856 0.9714
Nd1 0.9855 0.4853 0.9711
Pt1 0.7353 0.7351 0.4706

=====

[2]
# PBE-GGA NdH6PdRh, optimized geometry
# Total magnetic moment (μB/cell): 0.00
# DFT total energy (eV per cell): -40.49
# SG: P312 (149)
data_NdH6PdRh
_chemical_formula_sum 'Nd1 H6 Pd1 Rh1'
_cell_length_a 4.8103
_cell_length_b 4.8104
_cell_length_c 4.2173
_cell_angle_alpha 90.00
_cell_angle_beta 90.00
_cell_angle_gamma 60.00
_symmetry_space_group_name_H-M 'P 1'
_symmetry_Int_Tables_number 1
loop_
_symmetry_equiv_pos_as_xyz
'x,y,z'
loop_
_atom_site_label
_atom_site_fract_x
_atom_site_fract_y
_atom_site_fract_z
H1 0.4903 0.0172 0.7654
H2 0.4904 0.4924 0.2345
H3 0.4925 0.4904 0.7654
H4 0.0171 0.4924 0.7654
H5 0.0172 0.4903 0.2345
H6 0.4924 0.0173 0.2345
Nd1 0.0000 0.0000 0.0000
Pd1 0.6666 0.6667 0.4999
Rh1 0.3333 0.3334 0.5000

=====

[3]
# PBE-GGA Nd2H6PdRh2, optimized geometry
# Total magnetic moment (μB/cell): 0.00
# DFT total energy (eV per cell): -53.86
# SG: R-3m (166)
data_Nd2H6PdRh2
_chemical_formula_sum 'Nd2 H6 Pd1 Rh2'
_cell_length_a 5.1950
_cell_length_b 5.1950
_cell_length_c 6.0954
_cell_angle_alpha 64.78
_cell_angle_beta 64.78
_cell_angle_gamma 60.00
_symmetry_space_group_name_H-M 'P 1'
_symmetry_Int_Tables_number 1
loop_
_symmetry_equiv_pos_as_xyz
'x,y,z'
loop_
_atom_site_label
_atom_site_fract_x
_atom_site_fract_y
_atom_site_fract_z
H1 0.2331 0.7976 0.7363
H2 0.7976 0.2331 0.7363
H3 0.7669 0.2024 0.2637
H4 0.7669 0.7669 0.2637
H5 0.2331 0.2331 0.7363
H6 0.2024 0.7669 0.2637
Nd1 0.2268 0.2268 0.3197
Nd2 0.7732 0.7732 0.6803
Rh1 0.5991 0.5991 0.2026
Rh2 0.4009 0.4009 0.7974
Pd1 0.0000 0.0000 0.0000

=====

[4]
# PBE-GGA NdH6PdRu, optimized geometry
# Total magnetic moment (μB/cell): 0.74
# DFT total energy (eV per cell): -41.52
# SG: P-6m2 (187)
data_NdH6PdRu
_chemical_formula_sum 'Nd1 H6 Pd1 Ru1'
_cell_length_a 4.7577
_cell_length_b 4.7577
_cell_length_c 4.3199
_cell_angle_alpha 90.00
_cell_angle_beta 90.00
_cell_angle_gamma 60.00
_symmetry_space_group_name_H-M 'P 1'
_symmetry_Int_Tables_number 1
loop_
_symmetry_equiv_pos_as_xyz
'x,y,z'
loop_
_atom_site_label
_atom_site_fract_x
_atom_site_fract_y
_atom_site_fract_z
H1 0.4872 0.4871 0.7715
H2 0.0256 0.4872 0.2285
H3 0.4871 0.4872 0.2285
H4 0.4872 0.0256 0.2285
H5 0.4871 0.0256 0.7715
H6 0.0256 0.4872 0.7715
Ru1 0.3333 0.3333 0.5000
Nd1 0.0000 0.0000 0.0000
Pd1 0.6666 0.6667 0.5000

=====

[5]
# PBE-GGA NdSbHPd, optimized geometry
# Total magnetic moment (μB/cell): 0.00
# DFT total energy (eV per cell): -20.76
# SG: P3m1 (156)
data_NdSbHPd
_chemical_formula_sum 'Nd1 Sb1 H1 Pd1'
_cell_length_a 4.5672
_cell_length_b 4.5671
_cell_length_c 4.1605
_cell_angle_alpha 90.00
_cell_angle_beta 90.00
_cell_angle_gamma 120.00
_symmetry_space_group_name_H-M 'P 1'
_symmetry_Int_Tables_number 1
loop_
_symmetry_equiv_pos_as_xyz
'x,y,z'
loop_
_atom_site_label
_atom_site_fract_x
_atom_site_fract_y
_atom_site_fract_z
Pd1 0.2386 0.4772 0.8639
Sb1 0.9053 0.8105 0.7840
Nd1 0.5719 0.1438 0.3072
H1 0.2386 0.4772 0.2841

=====

[6]
# PBE-GGA Nd2SbHPd6, optimized geometry
# Total magnetic moment (μB/cell): 0.00
# DFT total energy (eV per cell): -54.76
# SG: P-1 (2)
data_Nd2SbHPd6
_chemical_formula_sum 'Nd2 Sb1 H1 Pd6'
_cell_length_a 5.8121
_cell_length_b 7.1599
_cell_length_c 7.1481
_cell_angle_alpha 47.96
_cell_angle_beta 65.93
_cell_angle_gamma 90.02
_symmetry_space_group_name_H-M 'P 1'
_symmetry_Int_Tables_number 1
loop_
_symmetry_equiv_pos_as_xyz
'x,y,z'
loop_
_atom_site_label
_atom_site_fract_x
_atom_site_fract_y
_atom_site_fract_z
Nd1 0.2730 0.7317 0.4587
Nd2 0.7270 0.2683 0.5413
Pd1 0.7644 0.7240 0.9581
Pd2 0.2722 0.2290 0.4491
Pd3 0.2356 0.2760 0.0419
Pd4 0.7278 0.7710 0.5509
Pd5 0.7274 0.2776 0.0464
Pd6 0.2726 0.7224 0.9536
H1 0.5000 0.5000 0.0000
Sb1 0.0000 0.0000 0.0000

=====

[7]
# PBE-GGA Nd2ZnHPd6, optimized geometry
# Total magnetic moment (μB/cell): 0.00
# DFT total energy (eV per cell): -51.76
# SG: P-1 (2)
data_Nd2ZnHPd6
_chemical_formula_sum 'Nd2 Zn1 H1 Pd6'
_cell_length_a 5.7698
_cell_length_b 6.8853
_cell_length_c 6.8787
_cell_angle_alpha 49.65
_cell_angle_beta 65.52
_cell_angle_gamma 90.20
_symmetry_space_group_name_H-M 'P 1'
_symmetry_Int_Tables_number 1
loop_
_symmetry_equiv_pos_as_xyz
'x,y,z'
loop_
_atom_site_label
_atom_site_fract_x
_atom_site_fract_y
_atom_site_fract_z
Pd1 0.2709 0.7273 0.9626
Pd2 0.7278 0.7725 0.5414
Pd3 0.7686 0.7261 0.9623
Pd4 0.2722 0.2275 0.4586
Pd5 0.2314 0.2739 0.0377
Pd6 0.7291 0.2727 0.0374
H1 0.5000 0.5000 0.0000
Zn1 0.0000 0.0000 0.0000
Nd1 0.2721 0.7292 0.4529
Nd2 0.7279 0.2708 0.5471

=====

[8]
# PBE-GGA Pm2NdH6, optimized geometry
# Total magnetic moment (μB/cell): 0.00
# DFT total energy (eV per cell): -40.33
# SG: I4/mmm (139)
data_Pm2NdH6
_chemical_formula_sum 'Pm2 Nd1 H6'
_cell_length_a 3.8414
_cell_length_b 3.8414
_cell_length_c 8.5824
_cell_angle_alpha 102.93
_cell_angle_beta 102.93
_cell_angle_gamma 90.00
_symmetry_space_group_name_H-M 'P 1'
_symmetry_Int_Tables_number 1
loop_
_symmetry_equiv_pos_as_xyz
'x,y,z'
loop_
_atom_site_label
_atom_site_fract_x
_atom_site_fract_y
_atom_site_fract_z
Pm1 0.6672 0.6672 0.3344
Pm2 0.3328 0.3328 0.6656
H1 0.7500 0.2500 0.5000
H2 0.0847 0.5847 0.1694
H3 0.5847 0.0847 0.1694
H4 0.2500 0.7500 0.5000
H5 0.9153 0.4153 0.8306
H6 0.4153 0.9153 0.8306
Nd1 0.0000 0.0000 0.0000

=====

[9]
# PBE-GGA PmNdH, optimized geometry
# Total magnetic moment (μB/cell): 0.00
# Energy above the lowest structure with this stoichiometry (eV/f.u.): 0.28
# SG: I4mm (107)
data_PmNdH
_chemical_formula_sum 'Pm1 Nd1 H1'
_cell_length_a 3.4771
_cell_length_b 3.4771
_cell_length_c 6.6969
_cell_angle_alpha 105.05
_cell_angle_beta 105.05
_cell_angle_gamma 90.00
_symmetry_space_group_name_H-M 'P 1'
_symmetry_Int_Tables_number 1
loop_
_symmetry_equiv_pos_as_xyz
'x,y,z'
loop_
_atom_site_label
_atom_site_fract_x
_atom_site_fract_y
_atom_site_fract_z
Pm1 0.0344 0.0344 0.0687
H1 0.2190 0.2190 0.4380
Nd1 0.7466 0.7466 0.4933

=====

[10]
# PBE-GGA Pm4NdH8, optimized geometry
# Total magnetic moment (μB/cell): 2.25
# DFT total energy (eV per cell): -52.88
# SG: Pm-3m (221)
data_Pm4NdH8
_chemical_formula_sum 'Pm4 Nd1 H8'
_cell_length_a 5.8553
_cell_length_b 5.8553
_cell_length_c 5.8553
_cell_angle_alpha 90.00
_cell_angle_beta 90.00
_cell_angle_gamma 90.00
_symmetry_space_group_name_H-M 'P 1'
_symmetry_Int_Tables_number 1
loop_
_symmetry_equiv_pos_as_xyz
'x,y,z'
loop_
_atom_site_label
_atom_site_fract_x
_atom_site_fract_y
_atom_site_fract_z
H1 0.7424 0.2576 0.2576
H2 0.2576 0.2576 0.7424
H3 0.2576 0.7424 0.7424
H4 0.7424 0.7424 0.2576
H5 0.2576 0.2576 0.2576
H6 0.7424 0.7424 0.7424
H7 0.2576 0.7424 0.2576
H8 0.7424 0.2576 0.7424
Pm1 0.0000 0.0000 0.0000
Pm2 0.5000 0.0000 0.5000
Pm3 0.5000 0.5000 0.0000
Pm4 0.0000 0.5000 0.5000
Nd1 0.5000 0.5000 0.5000

=====

[11]
# PBE-GGA Pm2Nd4H, optimized geometry
# Total magnetic moment (μB/cell): 0.00
# DFT total energy (eV per cell): -31.48
# SG: I4/mmm (139)
data_Pm2Nd4H
_chemical_formula_sum 'Pm2 Nd4 H1'
_cell_length_a 4.9813
_cell_length_b 4.9813
_cell_length_c 9.5672
_cell_angle_alpha 105.09
_cell_angle_beta 105.09
_cell_angle_gamma 90.00
_symmetry_space_group_name_H-M 'P 1'
_symmetry_Int_Tables_number 1
loop_
_symmetry_equiv_pos_as_xyz
'x,y,z'
loop_
_atom_site_label
_atom_site_fract_x
_atom_site_fract_y
_atom_site_fract_z
H1 0.0000 0.0000 0.0000
Pm1 0.3534 0.3534 0.7069
Pm2 0.6466 0.6466 0.2931
Nd1 0.8474 0.8474 0.6949
Nd2 0.0000 0.5000 0.0000
Nd3 0.1526 0.1526 0.3051
Nd4 0.5000 0.0000 0.0000

=====

[12]
# PBE-GGA PmNd4H10, optimized geometry
# Total magnetic moment (μB/cell): 0.00
# DFT total energy (eV per cell): -67.11
# SG: R-3m (166)
data_PmNd4H10
_chemical_formula_sum 'Pm1 Nd4 H10'
_cell_length_a 3.8623
_cell_length_b 3.8623
_cell_length_c 15.9303
_cell_angle_alpha 83.04
_cell_angle_beta 83.04
_cell_angle_gamma 60.00
_symmetry_space_group_name_H-M 'P 1'
_symmetry_Int_Tables_number 1
loop_
_symmetry_equiv_pos_as_xyz
'x,y,z'
loop_
_atom_site_label
_atom_site_fract_x
_atom_site_fract_y
_atom_site_fract_z
H1 0.4498 0.4498 0.6507
H2 0.8500 0.8500 0.4500
H3 0.2502 0.2502 0.2495
H4 0.6505 0.6505 0.0485
H5 0.5502 0.5502 0.3493
H6 0.7498 0.7498 0.7505
H7 0.0495 0.0495 0.8514
H8 0.9505 0.9505 0.1486
H9 0.3495 0.3495 0.9515
H10 0.1500 0.1500 0.5500
Nd1 0.7999 0.7999 0.6002
Nd2 0.2001 0.2001 0.3998
Nd3 0.3997 0.3997 0.8009
Nd4 0.6003 0.6003 0.1991
Pm1 0.0000 0.0000 0.0000

=====

Q: What is the formula in the fifth record?
A: NdSbHPd